Record 1
# GGA-PBE Pr2SmIn2Hg2, relaxed
data_Pr2SmIn2Hg2
_chemical_formula_sum 'Pr6 Sm3 In6 Hg6'
_space_group_name_H-M_alt 'R -3 m'
_space_group_IT_number 166
_space_group_name_Hall '-R 3 2"'
_cell_length_a 4.9510
_cell_length_b 4.9510
_cell_length_c 28.5463
_cell_angle_alpha 90.00
_cell_angle_beta 90.00
_cell_angle_gamma 120.00
loop_
_atom_site_label
_atom_site_type_symbol
_atom_site_fract_x
_atom_site_fract_y
_atom_site_fract_z
Pr1 Pr 0.0000 0.0000 0.1279
Sm1 Sm 0.0000 0.0000 0.0000
In1 In 0.0000 0.0000 0.2600
Hg1 Hg 0.0000 0.0000 0.3896
# E_form: -2.256 eV/f.u.
# total magnetization: 0.0 μB/f.u.
# crystal system: trigonal

***

Record 2
# GGA-PBE Rb5Cl, relaxed
data_Rb5Cl
_chemical_formula_sum 'Rb10 Cl2'
_space_group_name_H-M_alt 'C m m m'
_space_group_IT_number 65
_space_group_name_Hall '-C 2 2'
_cell_length_a 4.751
_cell_length_b 25.932
_cell_length_c 8.150
_cell_angle_alpha 90.00
_cell_angle_beta 90.00
_cell_angle_gamma 90.00
loop_
_atom_site_label
_atom_site_type_symbol
_atom_site_fract_x
_atom_site_fract_y
_atom_site_fract_z
Rb1 Rb 0.000 0.000 0.000
Rb2 Rb 0.000 0.088 0.500
Rb3 Rb 0.000 0.330 0.000
Cl1 Cl 0.000 0.500 0.500
# total magnetization: 0.0 μB/f.u.
# formation energy (no corrections): -0.509 eV per atom
# crystal system: orthorhombic

***

Record 3
# GGA-PBE TaHgTeI2, relaxed
data_TaHgTeI2
_chemical_formula_sum 'Ta1 Hg1 Te1 I2'
_space_group_name_H-M_alt 'P 4/m m m'
_space_group_IT_number 123
_space_group_name_Hall '-P 4 2'
_cell_length_a 5.660
_cell_length_b 5.660
_cell_length_c 5.385
_cell_angle_alpha 90.00
_cell_angle_beta 90.00
_cell_angle_gamma 90.00
loop_
_atom_site_label
_atom_site_type_symbol
_atom_site_fract_x
_atom_site_fract_y
_atom_site_fract_z
Ta1 Ta 0.000 0.000 0.000
Hg1 Hg 0.500 0.500 0.500
Te1 Te 0.000 0.000 0.500
I1 I 0.000 0.500 0.000
# total magnetization: 0.0 μB/f.u.
# formation energy (no corrections): 0.065 eV per atom
# polymorph energy (0 for the lowest one): 0 meV/atom
# crystal system: tetragonal

***

Record 4
# GGA-PBE Tb2PmCu2Si2, relaxed
data_Tb2PmCu2Si2
_chemical_formula_sum 'Tb6 Pm3 Cu6 Si6'
_space_group_name_H-M_alt 'R -3 m'
_space_group_IT_number 166
_space_group_name_Hall '-R 3 2"'
_cell_length_a 4.2201
_cell_length_b 4.2201
_cell_length_c 28.7685
_cell_angle_alpha 90.00
_cell_angle_beta 90.00
_cell_angle_gamma 120.00
loop_
_atom_site_label
_atom_site_type_symbol
_atom_site_fract_x
_atom_site_fract_y
_atom_site_fract_z
Tb1 Tb 0.0000 0.0000 0.1265
Pm1 Pm 0.0000 0.0000 0.0000
Cu1 Cu 0.0000 0.0000 0.4020
Si1 Si 0.0000 0.0000 0.2629
# total magnetization: 0.0 μB/f.u.
# formation energy (no corrections): -0.486 eV per atom
# crystal system: trigonal

***

| no. | final energy (eV/atom) |
| --- | --- |
| 1 | -3.231 |
| 2 | -1.623 |
| 3 | -3.614 |
| 4 | -5.208 |